[1]
24
Lattice="-2.581 12.990 -7.080 -3.702 -1.595 -1.577 -5.798 4.040 9.526" Properties=species:S:1:pos:R:3 comment="GGA-PBE KAlTe3Pd, optimized geometry" e_above_lowest_polymorph_ev_per_atom=0.002 space_group=Pnma volume_a3_per_atom=32.13 pbc="T T T"
Al -4.258 12.972 -6.098
Al -4.299 7.406 -0.369
Al -7.782 8.029 1.238
Al -7.824 2.462 6.967
K -1.935 3.537 -2.007
K -5.598 11.685 -1.649
K -6.484 3.749 2.518
K -10.147 11.898 2.876
Pd -4.449 5.334 -3.863
Pd -7.769 13.243 -4.068
Pd -4.312 2.192 4.937
Pd -7.632 10.101 4.732
Te -3.403 0.389 -1.315
Te -3.233 7.505 -2.972
Te -6.423 11.282 -5.245
Te -5.323 4.921 -1.391
Te -3.131 1.838 2.520
Te -6.870 8.400 -1.280
Te -5.212 7.035 2.150
Te -8.951 13.597 -1.651
Te -6.758 10.514 2.261
Te -5.658 4.153 6.115
Te -8.848 7.930 3.841
Te -8.678 15.046 2.184


[2]
12
Lattice="2.188 -7.305 0.000 2.188 7.305 0.000 0.000 0.000 11.575" Properties=species:S:1:pos:R:3 comment="GGA-PBE KPrAlSe3, optimized geometry" total_energy_ry_per_atom=-0.339 space_group=Cmcm volume_a3_per_atom=30.83 pbc="T T T"
Al 2.188 -0.439 2.894
Al 2.188 0.439 8.681
K 2.188 3.561 2.894
K 2.188 -3.561 8.681
Pr 0.000 0.000 0.000
Pr 0.000 0.000 5.787
Se 2.188 -1.913 0.948
Se 2.188 -6.445 2.894
Se 2.188 -1.913 4.840
Se 2.188 1.913 6.735
Se 2.188 6.445 8.681
Se 2.188 1.913 10.627